--- A ---
{
  "formula": "Al3HgP",
  "functional": "GGA-PBE",
  "state": "relaxed",
  "sg": "Pm-3m",
  "total_magnetization_mub_per_cell": 0.0,
  "dos_at_fermi_per_ev_cell": 1.4,
  "lattice_angstrom": [[4.933, 0.000, 0.000], [0.000, 4.933, 0.000], [0.000, 0.000, 4.933]],
  "species": ["Al", "Al", "Al", "Hg", "P"],
  "fractional_positions": [[0.000, 0.000, 0.500], [0.000, 0.500, 0.000], [0.500, 0.000, 0.000], [0.000, 0.000, 0.000], [0.500, 0.500, 0.500]]
}


--- B ---
{
  "formula": "Al3HgP",
  "functional": "GGA-PBE",
  "state": "relaxed",
  "sg": "Pm-3m",
  "total_magnetization_mub_per_cell": 0.0,
  "dos_at_fermi_per_ev_cell": 1.6,
  "lattice_angstrom": [[4.746, 0.000, 0.000], [0.000, 4.746, 0.000], [0.000, 0.000, 4.746]],
  "species": ["Al", "Al", "Al", "Hg", "P"],
  "fractional_positions": [[0.000, 0.000, 0.500], [0.000, 0.500, 0.000], [0.500, 0.000, 0.000], [0.500, 0.500, 0.500], [0.000, 0.000, 0.000]]
}


Q: Which of them is the most stable? A: B.


--- A ---
{
  "formula": "AlHgP",
  "functional": "GGA-PBE",
  "state": "relaxed",
  "sg": "I4mm",
  "total_magnetization_mub_per_cell": 0.0,
  "dos_at_fermi_per_ev_cell": 1.2,
  "lattice_angstrom": [[-1.713, 1.713, 5.830], [1.713, -1.713, 5.830], [1.713, 1.713, -5.830]],
  "species": ["Al", "Hg", "P"],
  "fractional_positions": [[0.000, 0.000, 0.000], [0.775, 0.775, 0.000], [0.552, 0.552, 0.000]]
}


--- B ---
{
  "formula": "AlHgP",
  "functional": "GGA-PBE",
  "state": "relaxed",
  "sg": "P3m1",
  "total_magnetization_mub_per_cell": 0.0,
  "dos_at_fermi_per_ev_cell": 0.6,
  "lattice_angstrom": [[3.805, 0.000, 0.000], [-1.903, 3.295, 0.000], [0.000, 0.000, 5.043]],
  "species": ["Al", "Hg", "P"],
  "fractional_positions": [[0.000, 0.000, 0.000], [0.667, 0.333, 0.405], [0.333, 0.667, 0.820]]
}


--- C ---
{
  "formula": "AlHgP",
  "functional": "GGA-PBE",
  "state": "relaxed",
  "sg": "Fmm2",
  "total_magnetization_mub_per_cell": 0.0,
  "dos_at_fermi_per_ev_cell": 1.1,
  "lattice_angstrom": [[0.000, 2.718, 5.944], [1.892, 0.000, 5.944], [1.892, 2.718, 0.000]],
  "species": ["Al", "Hg", "P"],
  "fractional_positions": [[0.000, 0.000, 0.000], [0.316, 0.316, 0.684], [0.617, 0.617, 0.383]]
}


--- D ---
{
  "formula": "AlHgP",
  "functional": "GGA-PBE",
  "state": "relaxed",
  "sg": "R3m",
  "total_magnetization_mub_per_cell": 0.0,
  "dos_at_fermi_per_ev_cell": 0.2,
  "lattice_angstrom": [[1.938, 1.119, 5.961], [-1.938, 1.119, 5.961], [0.000, -2.238, 5.961]],
  "species": ["Al", "Hg", "P"],
  "fractional_positions": [[0.000, 0.000, 0.000], [0.854, 0.854, 0.854], [0.710, 0.710, 0.710]]
}


Q: Which of them is the most stable? A: D.


--- A ---
{
  "formula": "PaAlHg",
  "functional": "GGA-PBE",
  "state": "relaxed",
  "sg": "Cmcm",
  "total_magnetization_mub_per_cell": 1.5,
  "dos_at_fermi_per_ev_cell": 7.8,
  "lattice_angstrom": [[1.573, -8.965, 0.000], [1.573, 8.965, 0.000], [0.000, 0.000, 4.706]],
  "species": ["Pa", "Pa", "Al", "Al", "Hg", "Hg"],
  "fractional_positions": [[0.110, 0.890, 0.750], [0.890, 0.110, 0.250], [0.462, 0.538, 0.750], [0.538, 0.462, 0.250], [0.294, 0.706, 0.750], [0.706, 0.294, 0.250]]
}


--- B ---
{
  "formula": "PaAlHg",
  "functional": "GGA-PBE",
  "state": "relaxed",
  "sg": "I4mm",
  "total_magnetization_mub_per_cell": 0.6,
  "dos_at_fermi_per_ev_cell": 4.0,
  "lattice_angstrom": [[-1.552, 1.552, 6.757], [1.552, -1.552, 6.757], [1.552, 1.552, -6.757]],
  "species": ["Pa", "Al", "Hg"],
  "fractional_positions": [[0.000, 0.000, 0.000], [0.339, 0.339, 0.000], [0.687, 0.687, 0.000]]
}


Q: Which of them is the most stable? A: A.


--- A ---
{
  "formula": "AlHgPb3",
  "functional": "GGA-PBE",
  "state": "relaxed",
  "sg": "Pm-3m",
  "total_magnetization_mub_per_cell": 0.0,
  "dos_at_fermi_per_ev_cell": 5.5,
  "lattice_angstrom": [[5.732, 0.000, 0.000], [0.000, 5.732, 0.000], [0.000, 0.000, 5.732]],
  "species": ["Al", "Hg", "Pb", "Pb", "Pb"],
  "fractional_positions": [[0.000, 0.000, 0.000], [0.500, 0.500, 0.500], [0.000, 0.500, 0.500], [0.500, 0.000, 0.500], [0.500, 0.500, 0.000]]
}


--- B ---
{
  "formula": "AlHgPb3",
  "functional": "GGA-PBE",
  "state": "relaxed",
  "sg": "Pm-3m",
  "total_magnetization_mub_per_cell": 0.0,
  "dos_at_fermi_per_ev_cell": 3.9,
  "lattice_angstrom": [[5.496, 0.000, 0.000], [0.000, 5.496, 0.000], [0.000, 0.000, 5.496]],
  "species": ["Al", "Hg", "Pb", "Pb", "Pb"],
  "fractional_positions": [[0.000, 0.000, 0.000], [0.500, 0.500, 0.500], [0.000, 0.000, 0.500], [0.000, 0.500, 0.000], [0.500, 0.000, 0.000]]
}


Q: Which of them is the most stable? A: B.


--- A ---
{
  "formula": "AlHg2Pb2",
  "functional": "GGA-PBE",
  "state": "relaxed",
  "sg": "P4/mbm",
  "total_magnetization_mub_per_cell": 0.0,
  "dos_at_fermi_per_ev_cell": 3.7,
  "lattice_angstrom": [[7.320, 0.000, 0.000], [0.000, 7.320, 0.000], [0.000, 0.000, 5.031]],
  "species": ["Al", "Al", "Hg", "Hg", "Hg", "Hg", "Pb", "Pb", "Pb", "Pb"],
  "fractional_positions": [[0.000, 0.000, 0.000], [0.500, 0.500, 0.000], [0.145, 0.355, 0.000], [0.355, 0.855, 0.000], [0.645, 0.145, 0.000], [0.855, 0.645, 0.000], [0.168, 0.668, 0.500], [0.332, 0.168, 0.500], [0.668, 0.832, 0.500], [0.832, 0.332, 0.500]]
}


--- B ---
{
  "formula": "AlHg2Pb2",
  "functional": "GGA-PBE",
  "state": "relaxed",
  "sg": "I4/mmm",
  "total_magnetization_mub_per_cell": 0.0,
  "dos_at_fermi_per_ev_cell": 2.8,
  "lattice_angstrom": [[-2.247, 2.247, 7.497], [2.247, -2.247, 7.497], [2.247, 2.247, -7.497]],
  "species": ["Al", "Hg", "Hg", "Pb", "Pb"],
  "fractional_positions": [[0.000, 0.000, 0.000], [0.407, 0.407, 0.000], [0.593, 0.593, 0.000], [0.250, 0.750, 0.500], [0.750, 0.250, 0.500]]
}


Q: Which of them is the most stable? A: A.


--- A ---
{
  "formula": "AlHgPd3",
  "functional": "GGA-PBE",
  "state": "relaxed",
  "sg": "Pm-3m",
  "total_magnetization_mub_per_cell": 0.0,
  "dos_at_fermi_per_ev_cell": 2.9,
  "lattice_angstrom": [[4.589, 0.000, 0.000], [0.000, 4.589, 0.000], [0.000, 0.000, 4.589]],
  "species": ["Al", "Hg", "Pd", "Pd", "Pd"],
  "fractional_positions": [[0.000, 0.000, 0.000], [0.500, 0.500, 0.500], [0.000, 0.000, 0.500], [0.000, 0.500, 0.000], [0.500, 0.000, 0.000]]
}


--- B ---
{
  "formula": "AlHgPd3",
  "functional": "GGA-PBE",
  "state": "relaxed",
  "sg": "Pm-3m",
  "total_magnetization_mub_per_cell": 0.0,
  "dos_at_fermi_per_ev_cell": 4.4,
  "lattice_angstrom": [[5.012, 0.000, 0.000], [0.000, 5.012, 0.000], [0.000, 0.000, 5.012]],
  "species": ["Al", "Hg", "Pd", "Pd", "Pd"],
  "fractional_positions": [[0.000, 0.000, 0.000], [0.500, 0.500, 0.500], [0.000, 0.500, 0.500], [0.500, 0.000, 0.500], [0.500, 0.500, 0.000]]
}


Q: Which of them is the most stable? A: A.


--- A ---
{
  "formula": "AlHgPd5",
  "functional": "GGA-PBE",
  "state": "relaxed",
  "sg": "C2/c",
  "total_magnetization_mub_per_cell": 0.0,
  "dos_at_fermi_per_ev_cell": 4.6,
  "lattice_angstrom": [[4.615, -2.818, 0.000], [4.615, 2.818, 0.000], [-0.027, 0.000, 9.050]],
  "species": ["Al", "Al", "Hg", "Hg", "Pd", "Pd", "Pd", "Pd", "Pd", "Pd", "Pd", "Pd", "Pd", "Pd"],
  "fractional_positions": [[0.141, 0.859, 0.750], [0.859, 0.141, 0.250], [0.500, 0.500, 0.000], [0.500, 0.500, 0.500], [0.123, 0.172, 0.004], [0.159, 0.412, 0.749], [0.172, 0.123, 0.504], [0.271, 0.729, 0.250], [0.412, 0.159, 0.249], [0.588, 0.841, 0.751], [0.729, 0.271, 0.750], [0.828, 0.877, 0.496], [0.841, 0.588, 0.251], [0.877, 0.828, 0.996]]
}


--- B ---
{
  "formula": "AlHgPd5",
  "functional": "GGA-PBE",
  "state": "relaxed",
  "sg": "P4/mmm",
  "total_magnetization_mub_per_cell": 0.0,
  "dos_at_fermi_per_ev_cell": 4.4,
  "lattice_angstrom": [[4.087, 0.000, 0.000], [0.000, 4.087, 0.000], [0.000, 0.000, 6.979]],
  "species": ["Al", "Hg", "Pd", "Pd", "Pd", "Pd", "Pd"],
  "fractional_positions": [[0.000, 0.000, 0.000], [0.500, 0.500, 0.500], [0.000, 0.000, 0.500], [0.000, 0.500, 0.207], [0.000, 0.500, 0.793], [0.500, 0.000, 0.207], [0.500, 0.000, 0.793]]
}


Q: Which of them is the most stable? A: B.


--- A ---
{
  "formula": "AlHg3Pd",
  "functional": "GGA-PBE",
  "state": "relaxed",
  "sg": "Pm-3m",
  "total_magnetization_mub_per_cell": 0.0,
  "dos_at_fermi_per_ev_cell": 2.2,
  "lattice_angstrom": [[5.257, 0.000, 0.000], [0.000, 5.257, 0.000], [0.000, 0.000, 5.257]],
  "species": ["Al", "Hg", "Hg", "Hg", "Pd"],
  "fractional_positions": [[0.000, 0.000, 0.000], [0.000, 0.500, 0.500], [0.500, 0.000, 0.500], [0.500, 0.500, 0.000], [0.500, 0.500, 0.500]]
}


--- B ---
{
  "formula": "AlHg3Pd",
  "functional": "GGA-PBE",
  "state": "relaxed",
  "sg": "Pm-3m",
  "total_magnetization_mub_per_cell": 0.0,
  "dos_at_fermi_per_ev_cell": 3.1,
  "lattice_angstrom": [[5.120, 0.000, 0.000], [0.000, 5.120, 0.000], [0.000, 0.000, 5.120]],
  "species": ["Al", "Hg", "Hg", "Hg", "Pd"],
  "fractional_positions": [[0.000, 0.000, 0.000], [0.000, 0.000, 0.500], [0.000, 0.500, 0.000], [0.500, 0.000, 0.000], [0.500, 0.500, 0.500]]
}


Q: Which of them is the most stable? A: A.


--- A ---
{
  "formula": "AlHg2Pd6",
  "functional": "GGA-PBE",
  "state": "relaxed",
  "sg": "C2/m",
  "total_magnetization_mub_per_cell": 0.0,
  "dos_at_fermi_per_ev_cell": 4.0,
  "lattice_angstrom": [[7.114, -3.835, 0.000], [7.114, 3.835, 0.000], [-0.586, 0.000, 2.857]],
  "species": ["Al", "Hg", "Hg", "Pd", "Pd", "Pd", "Pd", "Pd", "Pd"],
  "fractional_positions": [[0.000, 0.000, 0.000], [0.343, 0.343, 0.345], [0.657, 0.657, 0.655], [0.014, 0.654, 0.836], [0.266, 0.734, 0.500], [0.346, 0.986, 0.164], [0.654, 0.014, 0.836], [0.734, 0.266, 0.500], [0.986, 0.346, 0.164]]
}


--- B ---
{
  "formula": "AlHg2Pd6",
  "functional": "GGA-PBE",
  "state": "relaxed",
  "sg": "Cmmm",
  "total_magnetization_mub_per_cell": 0.0,
  "dos_at_fermi_per_ev_cell": 3.9,
  "lattice_angstrom": [[3.757, -6.987, 0.000], [3.757, 6.987, 0.000], [0.000, 0.000, 2.936]],
  "species": ["Al", "Hg", "Hg", "Pd", "Pd", "Pd", "Pd", "Pd", "Pd"],
  "fractional_positions": [[0.000, 0.000, 0.000], [0.319, 0.681, 0.500], [0.681, 0.319, 0.500], [0.020, 0.337, 0.000], [0.288, 0.288, 0.500], [0.337, 0.020, 0.000], [0.663, 0.980, 0.000], [0.712, 0.712, 0.500], [0.980, 0.663, 0.000]]
}


Q: Which of them is the most stable? A: B.


--- A ---
{
  "formula": "PmAlHg",
  "functional": "GGA-PBE",
  "state": "relaxed",
  "sg": "P-6m2",
  "total_magnetization_mub_per_cell": 0.0,
  "dos_at_fermi_per_ev_cell": 1.5,
  "lattice_angstrom": [[4.722, 0.000, 0.000], [-2.361, 4.089, 0.000], [0.000, 0.000, 3.717]],
  "species": ["Pm", "Al", "Hg"],
  "fractional_positions": [[0.000, 0.000, 0.000], [0.333, 0.667, 0.500], [0.667, 0.333, 0.500]]
}


--- B ---
{
  "formula": "PmAlHg",
  "functional": "GGA-PBE",
  "state": "relaxed",
  "sg": "C2/m",
  "total_magnetization_mub_per_cell": 0.0,
  "dos_at_fermi_per_ev_cell": 4.0,
  "lattice_angstrom": [[5.488, -2.341, 0.000], [5.488, 2.341, 0.000], [-5.029, 0.000, 5.602]],
  "species": ["Pm", "Pm", "Al", "Al", "Hg", "Hg"],
  "fractional_positions": [[0.036, 0.036, 0.291], [0.964, 0.964, 0.709], [0.344, 0.344, 0.885], [0.656, 0.656, 0.115], [0.325, 0.325, 0.271], [0.675, 0.675, 0.729]]
}


Q: Which of them is the most stable? A: A.


--- A ---
{
  "formula": "PmAlHg",
  "functional": "GGA-PBE",
  "state": "relaxed",
  "sg": "I4mm",
  "total_magnetization_mub_per_cell": 0.0,
  "dos_at_fermi_per_ev_cell": 2.0,
  "lattice_angstrom": [[-1.757, 1.757, 5.794], [1.757, -1.757, 5.794], [1.757, 1.757, -5.794]],
  "species": ["Pm", "Al", "Hg"],
  "fractional_positions": [[0.000, 0.000, 0.000], [0.322, 0.322, 0.000], [0.690, 0.690, 0.000]]
}


--- B ---
{
  "formula": "PmAlHg",
  "functional": "GGA-PBE",
  "state": "relaxed",
  "sg": "Pnma",
  "total_magnetization_mub_per_cell": 0.7,
  "dos_at_fermi_per_ev_cell": 8.2,
  "lattice_angstrom": [[7.543, 0.000, 0.000], [0.000, 4.709, 0.000], [0.000, 0.000, 8.067]],
  "species": ["Pm", "Pm", "Pm", "Pm", "Al", "Al", "Al", "Al", "Hg", "Hg", "Hg", "Hg"],
  "fractional_positions": [[0.002, 0.250, 0.216], [0.498, 0.750, 0.716], [0.502, 0.250, 0.284], [0.998, 0.750, 0.784], [0.203, 0.250, 0.588], [0.297, 0.750, 0.088], [0.703, 0.250, 0.912], [0.797, 0.750, 0.412], [0.205, 0.750, 0.416], [0.295, 0.250, 0.916], [0.705, 0.750, 0.084], [0.795, 0.250, 0.584]]
}


Q: Which of them is the most stable? A: B.


--- A ---
{
  "formula": "Pm4AlHg",
  "functional": "GGA-PBE",
  "state": "relaxed",
  "sg": "P4/mmm",
  "total_magnetization_mub_per_cell": 0.0,
  "dos_at_fermi_per_ev_cell": 9.0,
  "lattice_angstrom": [[5.136, 0.000, 0.000], [0.000, 5.136, 0.000], [0.000, 0.000, 7.479]],
  "species": ["Pm", "Pm", "Pm", "Pm", "Al", "Hg"],
  "fractional_positions": [[0.000, 0.500, 0.245], [0.000, 0.500, 0.755], [0.500, 0.000, 0.245], [0.500, 0.000, 0.755], [0.000, 0.000, 0.000], [0.500, 0.500, 0.500]]
}


--- B ---
{
  "formula": "Pm4AlHg",
  "functional": "GGA-PBE",
  "state": "relaxed",
  "sg": "Pmmm",
  "total_magnetization_mub_per_cell": 0.0,
  "dos_at_fermi_per_ev_cell": 6.6,
  "lattice_angstrom": [[3.807, 0.000, 0.000], [0.000, 5.757, 0.000], [0.000, 0.000, 8.591]],
  "species": ["Pm", "Pm", "Pm", "Pm", "Al", "Hg"],
  "fractional_positions": [[0.000, 0.000, 0.205], [0.000, 0.000, 0.795], [0.500, 0.500, 0.283], [0.500, 0.500, 0.717], [0.000, 0.500, 0.000], [0.500, 0.000, 0.500]]
}


Q: Which of them is the most stable? A: A.